Record 1
The following is a PBE-GGA calculation of a geometry-optimized CuPd5Au4 structure, from Alexandria via LeMat-Bulk.

Summary:
ΔE to the lowest computed polymorph   0.0 meV per atom
Formation energy from the elements   -0.08 eV/atom
Total moment   0.0 μB/f.u.
N(E_F)   0.542 states/eV/atom
Mass density   14.3 g/cm³
Final energy   -4.399 eV/atom

```
CuPd5Au4
1.0
2.8478 0.0000 0.0000
0.0000 2.8478 0.0000
0.0000 0.0000 19.8693
Pd Cu Au
5 1 4
direct
0.5000 0.5000 0.7070
0.5000 0.5000 0.0856
0.5000 0.5000 0.5000
0.5000 0.5000 0.2930
0.5000 0.5000 0.9144
0.0000 0.0000 0.0000
0.0000 0.0000 0.6035
0.0000 0.0000 0.8105
0.0000 0.0000 0.1895
0.0000 0.0000 0.3965
```

Record 2
The following is a PBE-GGA calculation of a geometry-optimized AcTcBrN2 structure, from Alexandria via LeMat-Bulk.

Summary:
Total moment   0.0 μB/f.u.
N(E_F)   0.103 states/eV/atom
Raw formation energy   -4.05 eV/f.u.
Mass density   6.5 g/cm³
Final energy   -7.370 eV/atom

```
AcTcBrN2
1.0
-2.4288 -2.7043 -1.7044
-0.3874 -2.8951 5.1457
-7.2334 6.6286 -0.2097
Tc Br N Ac
2 2 4 2
direct
0.7500 0.5448 0.5890
0.2500 0.4552 0.4110
0.2500 0.7287 0.9574
0.7500 0.2713 0.0426
0.2500 0.6667 0.3181
0.2500 0.1507 0.3186
0.7500 0.8493 0.6814
0.7500 0.3333 0.6819
0.7500 0.8629 0.2262
0.2500 0.1371 0.7738
```

Record 3
The following is a PBE-GGA calculation of a geometry-optimized Pm2Te4Pb structure, from Alexandria via LeMat-Bulk.

Summary:
ΔE to the lowest computed polymorph   0.0 meV per atom
Total moment   0.0 μB/f.u.
Raw formation energy   -7.77 eV/f.u.
Mass density   6.2 g/cm³
Final energy   -4.792 eV/atom

```
Pm2Te4Pb
1.0
4.3589 0.0000 -1.1929
-1.0032 6.8849 -3.6660
0.1216 0.0321 9.0048
Te Pb Pm
4 1 2
direct
0.3606 0.7105 0.7211
0.6394 0.2895 0.2789
0.8736 0.2002 0.7472
0.1264 0.7998 0.2528
0.0000 0.0000 0.0000
0.7361 0.7491 0.4722
0.2639 0.2509 0.5278
```

Record 4
The following is a PBE-GGA calculation of a geometry-optimized Pm2Pr3ThTe6 structure, from Alexandria via LeMat-Bulk.

Summary:
Total moment   0.0 μB/f.u.
N(E_F)   0.674 states/eV/atom
Raw formation energy   -16.22 eV/f.u.
Mass density   7.3 g/cm³
Final energy   -5.527 eV/atom

```
Pm2Pr3ThTe6
1.0
-3.2367 1.7954 2.5449
-6.1119 -2.0878 -6.3003
1.6638 -8.8581 4.4013
Te Pm Pr Th
6 2 3 1
direct
0.6667 0.0866 0.3335
0.3333 0.9134 0.6665
0.0011 0.2495 0.0022
0.3313 0.4198 0.6626
0.9989 0.7505 0.9978
0.6687 0.5802 0.3374
0.8345 0.6693 0.6690
0.1655 0.3307 0.3310
0.1656 0.8340 0.3312
0.8344 0.1660 0.6688
0.5000 0.5000 0.0000
0.5000 0.0000 0.0000
```

Copy entry 2 word for word.
The following is a PBE-GGA calculation of a geometry-optimized AcTcBrN2 structure, from Alexandria via LeMat-Bulk.

Summary:
Total moment   0.0 μB/f.u.
N(E_F)   0.103 states/eV/atom
Raw formation energy   -4.05 eV/f.u.
Mass density   6.5 g/cm³
Final energy   -7.370 eV/atom

```
AcTcBrN2
1.0
-2.4288 -2.7043 -1.7044
-0.3874 -2.8951 5.1457
-7.2334 6.6286 -0.2097
Tc Br N Ac
2 2 4 2
direct
0.7500 0.5448 0.5890
0.2500 0.4552 0.4110
0.2500 0.7287 0.9574
0.7500 0.2713 0.0426
0.2500 0.6667 0.3181
0.2500 0.1507 0.3186
0.7500 0.8493 0.6814
0.7500 0.3333 0.6819
0.7500 0.8629 0.2262
0.2500 0.1371 0.7738
```